No. 1
In8CoPd2 (PBE, optimized geometry); crystal system = tetragonal
1.0
4.5203 0.0000 0.0000
0.0000 4.5203 0.0000
0.0000 0.0000 11.7398
Co In Pd
1 8 2
Direct
0.0000 0.0000 0.0000
0.5000 0.0000 0.1262
0.0000 0.5000 0.1262
0.5000 0.5000 0.3128
0.5000 0.0000 0.5000
0.0000 0.5000 0.5000
0.5000 0.5000 0.6872
0.5000 0.0000 0.8738
0.0000 0.5000 0.8738
0.0000 0.0000 0.2705
0.0000 0.0000 0.7295



No. 2
Er6InFe2 (PBE, optimized geometry); crystal system = orthorhombic
1.0
6.7460 -3.8691 -2.9570
2.6984 6.4538 4.5044
-4.5126 -5.2702 4.5917
Er Fe In
12 4 2
Direct
0.8103 0.2908 0.1010
0.4462 0.2295 0.2167
0.9873 0.7705 0.2167
0.3108 0.6083 0.2975
0.6892 0.9867 0.2975
0.1897 0.2908 0.4805
0.8103 0.7092 0.5195
0.3108 0.0133 0.7025
0.6892 0.3917 0.7025
0.0127 0.2295 0.7833
0.5538 0.7705 0.7833
0.1897 0.7092 0.8990
0.3865 0.0000 0.3865
0.8925 0.3925 0.5000
0.1075 0.6075 0.5000
0.6135 0.0000 0.6135
0.0000 0.0000 0.0000
0.5000 0.5000 0.0000



Computed V (Å³ per cell) in order:
240; 443
Computed E (eV for the cell shown) in order:
-39.8; -96.7